{"formula": "CoPt4Rh3", "functional": "PBE", "state": "optimized geometry", "formation_enthalpy_0k_ev_per_atom": 0.15, "dft_energy_ev_per_atom": -6.517, "spacegroup": "Immm, No. 71", "cell": [[-1.3427, 2.6380, 8.5978], [1.3427, -2.6380, 8.5978], [1.3427, 2.6380, -8.5978]], "species": ["Co", "Pt", "Pt", "Pt", "Pt", "Rh", "Rh", "Rh"], "frac_coords": [[0.0000, 0.0000, 0.0000], [0.1313, 0.8776, 0.2537], [0.3761, 0.1224, 0.2537], [0.6239, 0.8776, 0.7463], [0.8687, 0.1224, 0.7463], [0.2365, 0.7365, 0.5000], [0.5000, 0.5000, 0.0000], [0.7635, 0.2635, 0.5000]]}



{"formula": "LiSnS2", "functional": "PBE", "state": "optimized geometry", "raw_formation_energy_ev_per_atom": -0.660, "dft_energy_ev_per_atom": -4.203, "spacegroup": "R3m, No. 160", "cell": [[1.8828, 1.0870, 6.6544], [-1.8828, 1.0870, 6.6544], [0.0000, -2.1741, 6.6544]], "species": ["Li", "Sn", "S", "S"], "frac_coords": [[0.0000, 0.0000, 0.0000], [0.1708, 0.1708, 0.1708], [0.5874, 0.5874, 0.5874], [0.7553, 0.7553, 0.7553]]}



{"formula": "DyTm5Sb4", "functional": "PBE", "state": "optimized geometry", "raw_formation_energy_ev_per_atom": -0.667, "dft_energy_ev_per_atom": -5.012, "spacegroup": "C2/m, No. 12", "cell": [[9.2198, -2.1328, 0.0000], [9.2198, 2.1328, 0.0000], [-2.3131, 0.0000, 7.9860]], "species": ["Dy", "Tm", "Tm", "Tm", "Tm", "Tm", "Sb", "Sb", "Sb", "Sb"], "frac_coords": [[0.0000, 0.0000, 0.0000], [0.0000, 0.0000, 0.5000], [0.3191, 0.3191, 0.6497], [0.3383, 0.3383, 0.1835], [0.6617, 0.6617, 0.8165], [0.6809, 0.6809, 0.3503], [0.1704, 0.1704, 0.0840], [0.4898, 0.4898, 0.7381], [0.5102, 0.5102, 0.2619], [0.8296, 0.8296, 0.9160]]}



{"formula": "NaPmPrSn", "functional": "PBE", "state": "optimized geometry", "formation_enthalpy_0k_ev_per_atom": -0.34, "dft_energy_ev_per_atom": -4.054, "spacegroup": "F-43m, No. 216", "cell": [[0.0000, 3.8828, 3.8828], [3.8828, 0.0000, 3.8828], [3.8828, 3.8828, 0.0000]], "species": ["Na", "Pm", "Pr", "Sn"], "frac_coords": [[0.0000, 0.0000, 0.0000], [0.7500, 0.7500, 0.7500], [0.2500, 0.2500, 0.2500], [0.5000, 0.5000, 0.5000]]}



{"formula": "Y8TlRu2", "functional": "PBE", "state": "optimized geometry", "formation_enthalpy_0k_ev_per_atom": -0.22, "dft_energy_ev_per_atom": -6.825, "spacegroup": "Imm2, No. 44", "cell": [[-2.6547, 8.0566, 3.4723], [2.6547, -8.0566, 3.4723], [2.6547, 8.0566, -3.4723]], "species": ["Y", "Y", "Y", "Y", "Y", "Y", "Y", "Y", "Tl", "Ru", "Ru"], "frac_coords": [[0.0000, 0.0000, 0.0000], [0.2674, 0.5990, 0.6684], [0.3586, 0.4683, 0.8903], [0.4254, 0.1383, 0.2871], [0.5780, 0.4683, 0.1097], [0.7283, 0.2283, 0.5000], [0.8512, 0.1383, 0.7129], [0.9306, 0.5990, 0.3316], [0.2966, 0.7966, 0.5000], [0.0036, 0.8314, 0.1722], [0.6592, 0.8314, 0.8278]]}